1.
Below is a relaxed K2VInO4 crystal, with properties calculated at the PBE+U level.

Geometry as POSCAR:
```
K2VInO4
1.0
-5.873 0.363 -0.503
1.735 -5.044 2.535
2.220 4.181 3.532
K V In O
2 1 1 4
Cartesian
-1.080 -2.556 2.533
0.000 0.000 0.000
1.978 -0.432 3.033
-0.838 2.056 3.031
-2.140 -0.103 2.600
1.448 1.111 2.379
-4.466 -1.371 1.497
1.323 -0.638 4.651
```

Results
**Fermi-level density of states**: 0.00 states/eV per cell
**Total DFT energy (no corrections)**: -5.70 eV/atom
**Crystal system**: tetragonal



2.
Below is a relaxed K3VIn3O8 crystal, with properties calculated at the PBE+U level.

Geometry as POSCAR:
```
K3VIn3O8
1.0
-3.246 -1.376 5.536
0.514 -4.471 -4.700
6.047 1.346 3.880
K V In O
3 1 3 8
Cartesian
0.000 0.000 0.000
0.257 -2.235 -2.350
-1.366 -2.923 0.418
3.023 0.673 1.940
1.400 -0.015 4.708
1.657 -2.250 2.358
3.280 -1.562 -0.410
1.332 -2.354 0.196
1.982 -2.146 4.519
-0.300 -3.329 2.887
3.614 -1.172 1.828
-0.559 -0.819 5.441
3.873 -3.681 -0.726
1.179 -0.083 2.479
2.136 -4.417 2.237
```

Results
**Fermi-level density of states**: 0.00 states/eV per cell
**Total DFT energy (no corrections)**: -5.57 eV/atom
**Crystal system**: monoclinic



3.
Below is a relaxed K3V2InO8 crystal, with properties calculated at the PBE+U level.

Geometry as POSCAR:
```
K3V2InO8
1.0
5.898 0.000 0.000
-2.949 5.107 0.000
0.000 0.000 7.610
K V In O
3 2 1 8
Cartesian
0.000 3.405 5.234
2.949 1.702 2.376
0.000 0.000 0.000
0.000 3.405 1.896
2.949 1.702 5.714
0.000 0.000 3.805
0.000 3.405 0.217
2.949 1.702 7.393
-1.437 4.235 2.500
4.386 0.873 5.111
0.000 1.746 2.500
2.949 3.362 5.111
1.437 4.235 2.500
1.512 0.873 5.111
```

Results
**Fermi-level density of states**: 0.00 states/eV per cell
**Total DFT energy (no corrections)**: -6.26 eV/atom
**Crystal system**: trigonal



- total DFT energy (no corrections) of number 1 (K2VInO4)?
  -5.70 eV/atom